# TbPdS2

A relaxed TbPdS2 crystal (GGA-PBE, Alexandria).

Computed properties:
The value obtained for the calculated volume is 237 Å³ per cell. The uncorrected formation energy is -1.065 eV/atom. The total moment comes out at 0.00 μB/atom. The calculation puts the distance to the lowest polymorph of the same formula at 0 meV per atom. The value obtained for the total energy is -5.584 eV per atom. For the density of states at the Fermi level, the calculation gives 12.785 states/eV/cell. As for the crystal system: trigonal. The space-group type is R3m, No. 160.

a b c (Å): 3.8922 3.8922 18.0888
angles (deg): 90.00 90.00 120.00
Last column: nearest neighbours and their distance in Å.
Sites, in units of the cell vectors:
Tb 0.0000 0.0000 0.0000  6 S 2.75-2.78
Tb 0.3333 0.6667 0.6667  6 S 2.75-2.78
Tb 0.6667 0.3333 0.3333  6 S 2.75-2.78
Pd 0.0000 0.0000 0.1805  6 S 2.54-2.78
Pd 0.3333 0.6667 0.8471  6 S 2.54-2.78
Pd 0.6667 0.3333 0.5138  6 S 2.54-2.78
S 0.0000 0.0000 0.5789  3 Pd 2.54, 3 Tb 2.75
S 0.0000 0.0000 0.7570  3 Pd 2.78, 3 Tb 2.78
S 0.3333 0.6667 0.2456  3 Pd 2.54, 3 Tb 2.75
S 0.3333 0.6667 0.4236  3 Pd 2.78, 3 Tb 2.78
S 0.6667 0.3333 0.0903  3 Pd 2.78, 3 Tb 2.78
S 0.6667 0.3333 0.9123  3 Pd 2.54, 3 Tb 2.75

=====

# AcNdTeI

A relaxed AcNdTeI crystal (GGA-PBE, Alexandria).

Computed properties:
The value obtained for the calculated volume is 507 Å³ per cell. The uncorrected formation energy is -1.117 eV/atom. The total moment comes out at 0.00 μB/atom. The value obtained for the total energy is -4.509 eV per atom. For the density of states at the Fermi level, the calculation gives 14.313 states/eV/cell. As for the crystal system: cubic. The space-group type is F-43m, No. 216.

a b c (Å): 7.9719 7.9719 7.9719
angles (deg): 90.00 90.00 90.00
Last column: nearest neighbours and their distance in Å.
Sites, in units of the cell vectors:
Ac 0.0000 0.0000 0.0000  4 Te 3.45, 4 I 3.45
Ac 0.0000 0.5000 0.5000  4 Te 3.45, 4 I 3.45
Ac 0.5000 0.0000 0.5000  4 Te 3.45, 4 I 3.45
Ac 0.5000 0.5000 0.0000  4 Te 3.45, 4 I 3.45
Nd 0.0000 0.0000 0.5000  4 Te 3.45, 4 I 3.45
Nd 0.0000 0.5000 0.0000  4 Te 3.45, 4 I 3.45
Nd 0.5000 0.0000 0.0000  4 Te 3.45, 4 I 3.45
Nd 0.5000 0.5000 0.5000  4 I 3.45, 4 Te 3.45
Te 0.2500 0.2500 0.2500  4 Ac 3.45, 4 Nd 3.45
Te 0.2500 0.7500 0.7500  4 Ac 3.45, 4 Nd 3.45
Te 0.7500 0.2500 0.7500  4 Ac 3.45, 4 Nd 3.45
Te 0.7500 0.7500 0.2500  4 Ac 3.45, 4 Nd 3.45
I 0.2500 0.2500 0.7500  4 Ac 3.45, 4 Nd 3.45
I 0.2500 0.7500 0.2500  4 Ac 3.45, 4 Nd 3.45
I 0.7500 0.2500 0.2500  4 Ac 3.45, 4 Nd 3.45
I 0.7500 0.7500 0.7500  4 Nd 3.45, 4 Ac 3.45

=====

# Tm6MgPb5

A relaxed Tm6MgPb5 crystal (GGA-PBE, Alexandria).

Computed properties:
The value obtained for the calculated volume is 326 Å³ per cell. The total moment comes out at 0.00 μB/atom. The value obtained for the formation energy from the elements is -335 meV/atom. The value obtained for the total energy is -4.249 eV per atom. For the density of states at the Fermi level, the calculation gives 10.513 states/eV/cell. As for the crystal system: orthorhombic. The space-group type is Cmmm, No. 65.

a b c (Å): 7.9425 7.9425 8.7328
angles (deg): 90.00 90.00 143.75
Last column: nearest neighbours and their distance in Å.
Sites, in units of the cell vectors:
Tm 0.0000 0.0000 0.2404  6 Pb 3.22-3.32, 2 Mg 3.35, 4 Tm 3.55
Tm 0.0000 0.0000 0.7596  6 Pb 3.22-3.32, 2 Mg 3.35, 4 Tm 3.55
Tm 0.3311 0.6689 0.2589  7 Pb 3.26-3.43, 1 Mg 3.31, 4 Tm 3.48-3.55
Tm 0.3311 0.6689 0.7411  7 Pb 3.26-3.43, 1 Mg 3.31, 4 Tm 3.48-3.55
Tm 0.6689 0.3311 0.2589  7 Pb 3.26-3.43, 1 Mg 3.31, 4 Tm 3.48-3.55
Tm 0.6689 0.3311 0.7411  7 Pb 3.26-3.43, 1 Mg 3.31, 4 Tm 3.48-3.55
Mg 0.5000 0.5000 0.5000  8 Tm 3.31-3.35, 4 Pb 3.37
Pb 0.1518 0.8482 0.5000  8 Tm 3.22-3.43, 2 Mg 3.37
Pb 0.1708 0.8292 0.0000  8 Tm 3.31-3.35, 4 Pb 3.44-3.57
Pb 0.5000 0.5000 0.0000  8 Tm 3.24-3.41, 4 Pb 3.57
Pb 0.8292 0.1708 0.0000  8 Tm 3.31-3.35, 4 Pb 3.44-3.57
Pb 0.8482 0.1518 0.5000  8 Tm 3.22-3.43, 2 Mg 3.37

=====

# POsW3

A relaxed POsW3 crystal (GGA-PBE, Alexandria).

Computed properties:
The value obtained for the calculated volume is 108 Å³ per cell. The total moment comes out at 0.00 μB/atom. The calculation puts the distance to the lowest polymorph of the same formula at 1135 meV per atom. The value obtained for the formation energy from the elements is 2199 meV/atom. The value obtained for the total energy is -8.900 eV per atom. For the density of states at the Fermi level, the calculation gives 5.525 states/eV/cell. As for the crystal system: cubic. The space-group type is Pm-3m, No. 221.

a b c (Å): 4.7563 4.7563 4.7563
angles (deg): 90.00 90.00 90.00
Last column: nearest neighbours and their distance in Å.
Sites, in units of the cell vectors:
P 0.0000 0.0000 0.0000  12 W 3.36
Os 0.5000 0.5000 0.5000  6 W 2.38
W 0.0000 0.5000 0.5000  2 Os 2.38
W 0.5000 0.0000 0.5000  2 Os 2.38
W 0.5000 0.5000 0.0000  2 Os 2.38

=====

# Pr2Si3B

A relaxed Pr2Si3B crystal (GGA-PBE, Alexandria).

Computed properties:
The value obtained for the calculated volume is 227 Å³ per cell. The uncorrected formation energy is -0.536 eV/atom. The total moment comes out at 0.00 μB/atom. The value obtained for the total energy is -5.954 eV per atom. For the density of states at the Fermi level, the calculation gives 6.271 states/eV/cell. As for the crystal system: orthorhombic. The space-group type is Fmmm, No. 69.

a b c (Å): 7.9517 7.6603 5.8817
angles (deg): 70.52 65.26 44.21
Last column: nearest neighbours and their distance in Å.
Sites, in units of the cell vectors:
Pr 0.2446 0.7554 0.2446  10 Si 3.11-3.24, 2 B 3.16
Pr 0.2500 0.2500 0.2500  8 Si 3.07-3.10, 4 B 3.14
Pr 0.7500 0.7500 0.7500  8 Si 3.07-3.10, 4 B 3.14
Pr 0.7554 0.2446 0.7554  10 Si 3.11-3.24, 2 B 3.16
Si 0.1770 0.1770 0.8230  1 B 2.06
Si 0.1806 0.6398 0.8194  1 B 2.05
Si 0.3602 0.8194 0.6398  1 B 2.05
Si 0.6398 0.1806 0.3602  1 B 2.05
Si 0.8194 0.3602 0.1806  1 B 2.05
Si 0.8230 0.8230 0.1770  1 B 2.06
B 0.3332 0.3332 0.6668  3 Si 2.05-2.06
B 0.6668 0.6668 0.3332  3 Si 2.05-2.06

=====

# Nd3Tl2Zn4

A relaxed Nd3Tl2Zn4 crystal (GGA-PBE, Alexandria).

Computed properties:
The value obtained for the calculated volume is 217 Å³ per cell. The total moment comes out at 0.00 μB/atom. The value obtained for the formation energy from the elements is -340 meV/atom. The value obtained for the total energy is -3.021 eV per atom. For the density of states at the Fermi level, the calculation gives 6.513 states/eV/cell. As for the crystal system: monoclinic. The space-group type is C2/m, No. 12.

a b c (Å): 6.0021 6.0021 9.0425
angles (deg): 111.08 111.08 46.36
Last column: nearest neighbours and their distance in Å.
Sites, in units of the cell vectors:
Nd 0.0000 0.0000 0.0000  8 Zn 3.25-3.50, 4 Tl 3.32
Nd 0.3355 0.3355 0.3268  8 Zn 3.11-3.38, 4 Tl 3.28-3.39
Nd 0.6645 0.6645 0.6732  8 Zn 3.11-3.38, 4 Tl 3.28-3.39
Tl 0.3850 0.3850 0.7215  3 Zn 2.80-2.83
Tl 0.6150 0.6150 0.2785  3 Zn 2.80-2.83
Zn 0.0672 0.0672 0.4119  1 Zn 2.57, 2 Tl 2.80
Zn 0.2812 0.2812 0.9621  2 Zn 2.63, 1 Tl 2.83
Zn 0.7188 0.7188 0.0379  2 Zn 2.63, 1 Tl 2.83
Zn 0.9328 0.9328 0.5881  1 Zn 2.57, 2 Tl 2.80

=====

calculated volume of number 6 (Nd3Tl2Zn4)?
217 Å³ per cell